The following is a DFT calculation (PBE-GGA) of a relaxed La3YCd crystal.

Properties
- Excess energy over the best structure of this formula in the dataset: 0.0 meV/atom
- ΔH_f (0 K): -101.0 meV/atom
- DFT total energy: -4.53 eV per atom
- Density: 6.08 Mg/m³

a b c (Å): 13.081 3.735 13.986
angles (deg): 90.00 98.78 90.00
Space group C2/m (No. 12)
Inequivalent atoms, fractional coordinates:
La (0.012, 0.000, 0.184)
La (0.138, 0.500, 0.404)
La (0.215, 0.500, 0.768)
Y (0.140, 0.500, 0.018)
Cd (0.083, 0.000, 0.591)